1.
Material: LiLa2RePt
Method: DFT, PBE
State: relaxed

Geometry as extended XYZ:
```
5
Lattice="-0.3908 2.2812 4.6819 1.3401 -3.4978 1.8161 4.9292 1.6777 -0.4060" Properties=species:S:1:pos:R:3 pbc="T T T"
La 2.4646 0.8389 -0.2030
La -0.1954 1.1406 2.3409
Pt 2.9392 0.2306 3.0460
Li 0.0000 0.0000 0.0000
Re 0.6701 -1.7489 0.9081
```

Results
- Total energy: -5.48 eV/atom
- SG: P4/mmm
- Total moment: 0.00 μB/f.u.
- Energy of formation from the pure elements: 0.569 eV per atom
- Fermi-level density of states: 0.769 states/eV/atom

2.
Material: CeSmP2Pd2
Method: DFT, PBE
State: relaxed

Geometry as extended XYZ:
```
6
Lattice="4.2087 0.0000 0.0000 -2.1043 3.6448 0.0000 0.0000 0.0000 7.8057" Properties=species:S:1:pos:R:3 pbc="T T T"
P 2.1043 1.2149 5.8369
Sm 0.0000 0.0000 3.9029
P 0.0000 2.4299 1.9689
Pd 2.1043 1.2149 1.9364
Ce 0.0000 0.0000 0.0000
Pd 0.0000 2.4299 5.8694
```

Results
- Total energy: -6.53 eV/atom
- SG: P-3m1
- Total moment: 1.06 μB/f.u.
- Energy of formation from the pure elements: -1.218 eV per atom
- Fermi-level density of states: 1.063 states/eV/atom

3.
Material: TlCuSn2Se4
Method: DFT, PBE
State: relaxed

Geometry as extended XYZ:
```
16
Lattice="4.1825 0.0000 0.0000 -2.0912 6.8366 0.0000 0.0000 0.0000 14.9313" Properties=species:S:1:pos:R:3 pbc="T T T"
Cu 2.0912 4.5331 11.1985
Se 0.0000 0.0000 0.0000
Se 2.0912 3.2434 9.0878
Sn 2.0912 1.8044 0.8652
Tl 0.0000 1.4495 11.1985
Sn 0.0000 5.0321 8.3308
Se 0.0000 5.7286 11.1985
Se 0.0000 0.0000 7.4656
Tl 2.0912 5.3871 3.7328
Se 2.0912 3.2434 13.3091
Se 2.0912 1.1080 3.7328
Cu 0.0000 2.3035 3.7328
Se 0.0000 3.5932 1.6221
Se 0.0000 3.5932 5.8435
Sn 2.0912 1.8044 6.6005
Sn 0.0000 5.0321 14.0661
```

Results
- E_form (uncorrected): -0.3336 eV per atom
- Total energy: -3.88 eV/atom
- SG: Cmcm
- Total moment: 0.00 μB/f.u.
- Fermi-level density of states: 0.340 states/eV/atom

4.
Material: La2YCu
Method: DFT, PBE
State: relaxed

Geometry as extended XYZ:
```
4
Lattice="-0.5951 -0.9666 4.5707 2.1404 -3.3042 -0.4201 6.6028 1.2557 1.1252" Properties=species:S:1:pos:R:3 pbc="T T T"
Cu 6.2599 -2.0196 2.8142
La 4.7416 -1.2117 0.3611
La 8.3732 -1.8609 0.6966
Y 1.8883 -0.9954 2.4617
```

Results
- Total energy: -5.02 eV/atom
- Offset from the most stable computed form: 154 meV/atom
- SG: P2/m
- Total moment: 0.00 μB/f.u.
- Energy of formation from the pure elements: 0.079 eV per atom
- Fermi-level density of states: 1.504 states/eV/atom

5.
Material: NaBF4
Method: DFT, PBE
State: relaxed

Geometry as extended XYZ:
```
12
Lattice="4.6663 0.0046 0.0000 -0.4415 4.6454 0.0000 0.0000 0.0000 6.9165" Properties=species:S:1:pos:R:3 pbc="T T T"
F 0.2987 3.7477 1.7291
B 0.6659 0.7330 5.1874
B 3.5589 3.9171 1.7291
F 2.9981 3.2998 0.5810
Na 1.4648 1.6122 1.7291
F 0.5228 3.9944 5.1874
F 3.9261 0.9023 5.1874
Na 2.7600 3.0378 5.1874
F 2.9981 3.2998 2.8773
F 3.7020 0.6557 1.7291
F 1.2267 1.3502 4.0392
F 1.2267 1.3502 6.3355
```

Results
- E_form (uncorrected): -2.9508 eV per atom
- Total energy: -5.53 eV/atom
- Offset from the most stable computed form: 0 meV/atom
- SG: Cmcm
- Total moment: 0.00 μB/f.u.
- Fermi-level density of states: 0.000 states/eV/atom

6.
Material: Sc3I2Br4
Method: DFT, PBE
State: relaxed

Geometry as extended XYZ:
```
9
Lattice="3.7941 0.0000 0.0000 -1.8970 3.2857 0.0000 0.0000 0.0000 23.1875" Properties=species:S:1:pos:R:3 pbc="T T T"
Br 1.8970 1.0952 9.4500
I 0.0000 0.0000 1.9503
Sc 0.0000 0.0000 7.7226
I 0.0000 0.0000 21.2371
Br 1.8970 1.0952 5.9934
Br 1.8970 1.0952 13.7374
Sc 0.0000 0.0000 15.4649
Sc 1.8970 1.0952 0.0000
Br 1.8970 1.0952 17.1941
```

Results
- E_form (uncorrected): -1.3736 eV per atom
- Total energy: -4.57 eV/atom
- SG: P-6m2
- Total moment: 2.95 μB/f.u.
- Fermi-level density of states: 0.161 states/eV/atom

7.
Material: Tb3Sm2Tm
Method: DFT, PBE
State: relaxed

Geometry as extended XYZ:
```
12
Lattice="-1.5996 1.3607 -5.2388 -6.5002 -4.9497 3.7394 1.2747 9.4185 2.0571" Properties=species:S:1:pos:R:3 pbc="T T T"
Sm -7.0723 -2.7182 1.4534
Sm 0.2472 8.5476 -0.8956
Sm -2.4873 6.5786 2.4682
Tm -5.1663 5.6720 0.0104
Tb -4.9965 0.3767 1.6235
Tb -1.8286 5.4527 -1.0657
Tb -3.9143 2.4122 -1.2186
Tb -2.9108 3.4172 1.7764
Sm -4.3378 -0.7492 -1.9104
Tm -1.6588 0.1575 0.5474
Tb 0.8355 6.2972 1.3805
Tb -7.6606 -0.4677 -0.8227
```

Results
- Total energy: -4.57 eV/atom
- Offset from the most stable computed form: 0 meV/atom
- SG: C2/m
- Total moment: 0.00 μB/f.u.
- Energy of formation from the pure elements: 0.064 eV per atom
- Fermi-level density of states: 1.709 states/eV/atom

8.
Material: Li3PmZn2
Method: DFT, PBE
State: relaxed

Geometry as extended XYZ:
```
12
Lattice="4.4998 0.0000 0.0000 -2.2499 6.6847 -0.8698 0.0000 -3.8711 8.2142" Properties=species:S:1:pos:R:3 pbc="T T T"
Li 0.0000 4.4742 1.8672
Li 2.2499 0.8325 4.1322
Li 0.0000 -0.7859 3.0762
Li 0.0000 1.9811 3.2122
Zn 0.0000 2.5879 5.8684
Li 2.2499 -1.6606 5.4772
Zn 2.2499 0.2257 1.4760
Pm 2.2499 1.0162 7.4139
Pm 0.0000 1.7974 -0.0695
Zn 0.0000 -0.1226 5.6297
Zn 2.2499 2.9362 1.7147
Li 2.2499 3.5995 4.2682
```

Results
- Total energy: -2.31 eV/atom
- SG: C2/m
- Total moment: 0.00 μB/f.u.
- Energy of formation from the pure elements: -0.132 eV per atom
- Fermi-level density of states: 0.658 states/eV/atom

Look up the total energy of the seventh one.
-4.57 eV/atom